Tl3Sb PBE relaxed; formation energy (no corrections) = 0.004 eV/atom; crystal system = orthorhombic
1.0
3.515 0.000 0.000
0.000 4.794 0.000
0.000 0.000 7.322
Tl Sb
3 1
direct
0.000 0.000 0.000
0.500 0.500 0.263
0.500 0.500 0.737
0.000 0.000 0.500


TlSb PBE relaxed; formation energy (no corrections) = 0.029 eV/atom; crystal system = tetragonal
1.0
4.038 0.000 0.000
0.000 4.038 0.000
0.000 0.000 7.547
Tl Sb
2 2
direct
0.250 0.250 0.140
0.750 0.750 0.860
0.250 0.250 0.588
0.750 0.750 0.412


Tl3Sb PBE relaxed; formation energy (no corrections) = 0.027 eV/atom; crystal system = orthorhombic
1.0
-1.820 2.901 5.896
1.820 -2.901 5.896
1.820 2.901 -5.896
Tl Sb
3 1
direct
0.000 0.000 0.000
0.266 0.766 0.500
0.734 0.234 0.500
0.500 0.500 0.000


Tl3Sb PBE relaxed; formation energy (no corrections) = 0.059 eV/atom; crystal system = hexagonal
1.0
3.462 0.000 0.000
-1.731 2.998 0.000
0.000 0.000 11.742
Tl Sb
3 1
direct
0.000 0.000 0.000
0.667 0.333 0.259
0.667 0.333 0.741
0.000 0.000 0.500


TlSb3 PBE relaxed; formation energy (no corrections) = 0.144 eV/atom; excess energy over the best structure of this formula in the dataset = 0.083 eV per atom; crystal system = tetragonal
1.0
4.155 0.000 0.000
0.000 4.155 0.000
0.000 0.000 7.025
Tl Sb
1 3
direct
0.000 0.000 0.000
0.000 0.000 0.500
0.500 0.500 0.292
0.500 0.500 0.708


TlSb PBE relaxed; formation energy (no corrections) = 0.056 eV/atom; crystal system = tetragonal
1.0
3.303 0.000 0.000
0.000 3.303 0.000
0.000 0.000 5.473
Tl Sb
1 1
direct
0.000 0.000 0.000
0.500 0.500 0.500